1.
Below is crystalline PmReOs at its relaxed geometry, with properties calculated at the PBE-GGA level.

It has space group Imma (No. 74), with a = 5.2098 Å, b = 5.7983 Å, c = 7.6097 Å, α = 90.00°, β = 90.00° and γ = 90.00°. The inequivalent atoms are Pm at (0.0000, 0.2500, 0.1249), Re at (0.2500, 0.2500, 0.7500) and Os at (0.0000, 0.0000, 0.5000).

The energy relative to the elements comes out at -8.9 kJ/mol of atoms. The total energy comes out at -9.568 eV/atom.


2.
Below is crystalline Pm2Re3Os at its relaxed geometry, with properties calculated at the PBE-GGA level.

It has space group C2/m (No. 12), with a = 9.2164 Å, b = 5.3444 Å, c = 5.6205 Å, α = 90.00°, β = 123.17° and γ = 90.00°. The inequivalent atoms are Pm at (0.1268, 0.0000, 0.3807), Re at (0.0000, 0.5000, 0.0000), Re at (0.2500, 0.2500, 0.0000) and Os at (0.0000, 0.5000, 0.5000).

The energy relative to the elements comes out at -5.1 kJ/mol of atoms. The total energy comes out at -9.732 eV/atom.


Spin magnetization per entry: 0.0 0.0 μB/cell